Material: Zr2ScNi
Method: DFT, PBEsol
State: optimized geometry

abc: 5.457 9.418 3.095
angles: 90.00 110.38 90.00
Space group C2/m (No. 12)
Symmetry-distinct sites (fractional):
Zr: 0.250 0.250 0.000 x4
Sc: 0.000 0.000 0.500 x2
Ni: 0.000 0.500 0.500 x2

Summary:
DFT formation energy (eV per formula unit): 0.34

Material: InNiHg2
Method: DFT, PBEsol
State: optimized geometry

abc: 3.045 3.045 8.182
angles: 90.00 90.00 90.00
Space group P4mm (No. 99)
Symmetry-distinct sites (fractional):
In: 0.000 0.000 0.000 x1
Ni: 0.500 0.500 0.810 x1
Hg: 0.000 0.000 0.603 x1
Hg: 0.500 0.500 0.304 x1

Summary:
DFT formation energy (eV per formula unit): 0.27

Material: ScCdRe
Method: DFT, PBEsol
State: optimized geometry

abc: 3.0265 3.0265 6.9311
angles: 90.00 90.00 120.00
Space group P3m1 (No. 156)
Symmetry-distinct sites (fractional):
Sc: 0.0000 0.0000 0.0000 x1
Cd: 0.6667 0.3333 0.6272 x1
Re: 0.3333 0.6667 0.2932 x1

Summary:
DFT formation energy (eV per formula unit): 0.92

Material: ZrSc2MnB
Method: DFT, PBEsol
State: optimized geometry

abc: 5.037 5.037 4.296
angles: 90.00 90.00 90.00
Space group P4/mmm (No. 123)
Symmetry-distinct sites (fractional):
Zr: 0.000 0.000 0.000 x1
Sc: 0.000 0.500 0.000 x2
Mn: 0.500 0.500 0.500 x1
B: 0.000 0.000 0.500 x1

Summary:
DFT formation energy (eV per formula unit): 6.96

Material: Cu2Pt
Method: DFT, PBEsol
State: optimized geometry

abc: 7.328 7.502 5.843
angles: 90.00 108.64 90.00
Space group C2/m (No. 12)
Symmetry-distinct sites (fractional):
Cu: 0.079 0.000 0.335 x4
Cu: 0.164 0.249 0.663 x8
Cu: 0.249 0.500 0.998 x4
Pt: 0.000 0.240 0.000 x4
Pt: 0.091 0.500 0.339 x4

Summary:
DFT formation energy (eV per formula unit): -0.31

Material: ScAgSb2
Method: DFT, PBEsol
State: optimized geometry

abc: 10.517 3.840 4.480
angles: 90.00 103.95 90.00
Space group Cm (No. 8)
Symmetry-distinct sites (fractional):
Sc: 0.000 0.000 0.000 x2
Ag: 0.215 0.000 0.603 x2
Sb: 0.231 0.500 0.091 x2
Sb: 0.470 0.000 0.483 x2

Summary:
Uncorrected formation energy (eV/atom): -0.44

Material: CsAs4F13
Method: DFT, PBEsol
State: optimized geometry

abc: 9.380 9.380 6.667
angles: 90.00 90.00 90.00
Space group I-4 (No. 82)
Symmetry-distinct sites (fractional):
Cs: 0.000 0.000 0.000 x2
As: 0.013 0.306 0.516 x8
F: 0.000 0.500 0.750 x2
F: 0.078 0.647 0.081 x8
F: 0.083 0.162 0.363 x8
F: 0.119 0.242 0.718 x8

Summary:
Uncorrected formation energy (eV/atom): -2.26

Material: BeAl2
Method: DFT, PBEsol
State: optimized geometry

abc: 9.155 2.694 6.913
angles: 90.00 101.28 90.00
Space group Cm (No. 8)
Symmetry-distinct sites (fractional):
Be: 0.000 0.000 0.000 x2
Be: 0.140 0.500 0.216 x2
Al: 0.011 0.500 0.706 x2
Al: 0.220 0.000 0.529 x2
Al: 0.267 0.000 0.961 x2
Al: 0.423 0.500 0.329 x2

Summary:
DFT formation energy (eV per formula unit): 0.57